No. 1
40
Lattice="-1.759 3.478 4.047 0.754 -6.834 6.201 10.772 3.054 2.056" Properties=species:S:1:pos:R:3 comment="BaNaZrF7 (GGA-PBE, relaxed)" raw_formation_energy_kcal_per_mol_atoms=-83.787 magmom_total_mub_per_atom=0.008 pbc="T T T"
Ba 8.488 3.191 2.896
Ba 1.279 -3.493 9.408
Ba 7.212 -0.695 5.681
Ba 2.555 0.393 6.623
Na 4.453 1.300 2.768
Na 5.313 -1.602 9.536
Na 9.132 3.004 7.236
Na 0.635 -3.307 5.068
Zr 4.015 -3.164 6.415
Zr 1.247 -0.425 2.858
Zr 5.751 2.862 5.890
Zr 8.520 0.123 9.447
F 7.515 -1.343 8.349
F 4.927 4.769 5.700
F 8.268 2.193 9.367
F 10.337 -0.881 9.227
F 2.101 -2.526 6.955
F 2.967 -4.239 4.962
F 4.025 -3.459 8.480
F 4.868 -1.404 7.144
F 6.648 0.370 10.342
F 6.799 3.937 7.342
F 9.493 0.788 11.169
F 8.368 -1.532 10.803
F 4.054 2.770 7.103
F -0.571 0.578 3.077
F 3.118 -0.673 1.962
F 4.898 1.101 5.160
F 9.083 0.580 7.490
F 6.247 1.390 7.370
F 4.840 -5.072 6.604
F 3.520 -1.693 4.934
F 1.499 -2.495 2.938
F 0.683 -0.883 4.814
F 7.666 2.224 5.349
F 0.273 -1.091 1.135
F 5.712 -3.073 5.202
F 5.742 3.157 3.824
F 1.398 1.230 1.501
F 2.252 1.041 3.955

No. 2
6
Lattice="0.000 4.014 4.014 4.014 0.000 4.014 4.014 4.014 0.000" Properties=species:S:1:pos:R:3 comment="Ag4SbTe (GGA-PBE, relaxed)" polymorph_energy_kcal_per_mol_atoms=2.84 raw_formation_energy_kcal_per_mol_atoms=3.667 magmom_total_mub_per_atom=0.000 pbc="T T T"
Ag 3.014 5.015 5.015
Ag 5.015 5.015 3.014
Ag 5.015 3.014 5.015
Ag 3.014 3.014 3.014
Sb 6.022 6.022 6.022
Te 0.000 0.000 0.000

No. 3
20
Lattice="7.005 0.000 0.000 0.000 7.009 0.000 0.000 0.000 9.907" Properties=species:S:1:pos:R:3 comment="LiVIn2Cl6 (GGA-PBE, relaxed)" raw_formation_energy_kcal_per_mol_atoms=-26.762 magmom_total_mub_per_atom=0.200 pbc="T T T"
Li 0.000 5.253 4.954
Li 3.502 1.756 0.000
V 3.502 1.751 4.954
V 0.000 5.258 0.000
In 3.502 5.256 2.471
In 0.000 1.752 7.424
In 3.502 5.256 7.437
In 0.000 1.752 2.483
Cl 3.502 1.751 2.567
Cl 3.502 1.751 7.340
Cl 0.000 5.257 2.387
Cl 0.000 5.257 7.520
Cl 1.814 0.063 4.954
Cl 5.190 0.063 4.954
Cl 1.814 3.439 4.954
Cl 5.191 3.439 4.954
Cl 5.316 3.570 0.000
Cl 1.688 3.570 0.000
Cl 1.688 6.945 0.000
Cl 5.316 6.945 0.000

No. 4
11
Lattice="5.514 0.565 -0.197 -0.266 5.536 -0.197 -0.202 -0.235 5.632" Properties=species:S:1:pos:R:3 comment="Cd2Ag2F7 (GGA-PBE, relaxed)" polymorph_energy_kcal_per_mol_atoms=0.00 raw_formation_energy_kcal_per_mol_atoms=-37.607 magmom_total_mub_per_atom=0.096 pbc="T T T"
Cd 1.432 1.665 -0.100
Cd 3.614 4.202 5.339
Ag 1.075 4.179 2.619
Ag 3.971 1.688 2.619
F -0.074 2.858 1.330
F 2.209 5.512 3.909
F 5.120 3.009 3.909
F 2.836 0.355 1.330
F 0.000 0.000 0.000
F 2.366 2.751 4.084
F 2.680 3.116 1.155

No. 5
6
Lattice="-2.486 1.141 -0.006 -1.568 -3.403 2.576 1.848 4.057 6.484" Properties=species:S:1:pos:R:3 comment="ScRe2 (GGA-PBE, relaxed)" delta_e_f_ev_per_atom=0.21 magmom_total_mub_per_atom=0.000 pbc="T T T"
Sc 0.000 0.000 0.000
Sc -1.103 0.898 4.527
Re 0.321 1.523 2.207
Re -0.165 2.138 6.736
Re -2.041 -0.342 2.319
Re -0.959 3.676 4.271

No. 6
20
Lattice="-2.992 -0.327 -1.857 0.770 -9.777 0.480 -5.178 0.002 8.343" Properties=species:S:1:pos:R:3 comment="Ho2TlSi2Rh5 (GGA-PBE, relaxed)" raw_formation_energy_kcal_per_mol_atoms=-20.310 magmom_total_mub_per_atom=0.000 pbc="T T T"
Ho -0.389 -6.605 1.789
Ho -4.019 -3.171 7.035
Ho -1.545 -1.716 2.792
Ho -2.863 -8.060 6.032
Tl 0.000 0.000 0.000
Tl -2.204 -4.888 4.412
Si -3.125 -1.187 5.245
Si -1.283 -8.588 3.579
Si -4.070 -6.076 7.628
Si -0.338 -3.700 1.196
Rh -1.691 -2.308 -0.237
Rh -5.709 -7.794 7.204
Rh -5.484 -0.849 5.619
Rh -3.167 -7.196 3.003
Rh -1.916 -9.254 1.349
Rh -4.232 -2.906 3.964
Rh -4.781 -5.737 5.348
Rh -2.618 -4.365 1.620
Rh -1.111 -5.052 -0.688
Rh -4.085 -0.162 3.243

No. 7
4
Lattice="-3.924 1.026 2.588 0.300 -4.291 2.156 4.617 3.579 1.110" Properties=species:S:1:pos:R:3 comment="PuTl3 (GGA-PBE, relaxed)" delta_e_f_ev_per_atom=0.04 magmom_total_mub_per_atom=1.493 pbc="T T T"
Tl -0.559 1.486 3.035
Tl 1.553 -1.172 2.819
Tl -1.812 -1.633 2.372
Pu 0.000 0.000 0.000

No. 8
16
Lattice="-1.575 -2.265 -3.232 -4.214 -3.397 4.435 -7.238 7.093 -1.443" Properties=species:S:1:pos:R:3 comment="TbGe2Rh (GGA-PBE, relaxed)" delta_e_f_ev_per_atom=-0.80 magmom_total_mub_per_atom=0.000 pbc="T T T"
Tb -8.591 0.524 -0.370
Tb -4.864 -2.437 2.682
Tb -4.436 0.906 0.130
Tb -8.163 3.868 -2.922
Ge -6.174 1.652 -2.339
Ge -2.148 -1.069 0.399
Ge -6.852 -0.222 2.099
Ge -10.878 2.499 -0.640
Ge -6.214 -1.503 -0.108
Ge -10.062 2.355 1.857
Ge -6.813 2.934 -0.132
Ge -2.964 -0.925 -2.097
Rh -8.140 -2.314 1.399
Rh -8.968 3.980 0.185
Rh -4.887 3.744 -1.639
Rh -4.059 -2.550 -0.425

No. 9
8
Lattice="3.569 5.770 2.595 -3.794 -4.252 4.506 2.811 -1.968 0.510" Properties=species:S:1:pos:R:3 comment="Si3Te (GGA-PBE, relaxed)" polymorph_energy_kcal_per_mol_atoms=3.05 raw_formation_energy_kcal_per_mol_atoms=9.460 magmom_total_mub_per_atom=0.000 pbc="T T T"
Si 1.062 1.424 5.540
Si 1.189 0.568 1.537
Si 3.201 3.821 3.000
Si 1.524 -1.873 2.070
Si 1.397 -1.017 6.073
Si -0.615 -4.270 4.610
Te -0.637 -1.403 3.996
Te 3.223 0.954 3.614

No. 10
4
Lattice="0.000 3.571 3.571 3.571 0.000 3.571 3.571 3.571 0.000" Properties=species:S:1:pos:R:3 comment="Zn2TeBr (GGA-PBE, relaxed)" polymorph_energy_kcal_per_mol_atoms=7.41 raw_formation_energy_kcal_per_mol_atoms=1.096 magmom_total_mub_per_atom=0.000 pbc="T T T"
Zn 1.785 1.785 1.785
Zn 5.356 5.356 5.356
Te 3.571 3.571 3.571
Br 0.000 0.000 0.000

No. 11
7
Lattice="-0.103 1.930 3.601 -6.655 2.234 -1.387 1.097 -7.645 1.810" Properties=species:S:1:pos:R:3 comment="Y2ErSe4 (GGA-PBE, relaxed)" polymorph_energy_kcal_per_mol_atoms=0.00 raw_formation_energy_kcal_per_mol_atoms=-42.191 magmom_total_mub_per_atom=0.000 pbc="T T T"
Y -1.144 -2.989 1.570
Y -4.516 -0.491 2.454
Er 0.000 0.000 0.000
Se -5.084 0.178 -0.240
Se -0.576 -3.658 4.264
Se -4.035 -3.287 1.647
Se -1.625 -0.193 2.376

No. 12
8
Lattice="4.622 0.000 0.000 0.000 7.877 0.111 0.000 -2.786 7.860" Properties=species:S:1:pos:R:3 comment="Ba2TmPaSb4 (GGA-PBE, relaxed)" raw_formation_energy_kcal_per_mol_atoms=-20.703 magmom_total_mub_per_atom=0.011 pbc="T T T"
Ba 2.311 -1.393 3.930
Ba 0.000 2.546 3.986
Tm 2.311 3.939 0.055
Pa 0.000 0.000 0.000
Sb 2.311 1.247 1.644
Sb 2.311 3.845 6.327
Sb 0.000 -0.173 6.264
Sb 0.000 5.264 1.707